Density functional theory data (GGA-PBE) for crystalline In2Bi2Pb at its relaxed geometry.

abc: 4.639 4.639 15.266
angles: 90.00 90.00 90.00
Space group I4/mmm (No. 139)
Asymmetric unit:
In1 0.000 0.000 0.097 [4 per cell]
Bi1 0.000 0.500 0.250 [4 per cell]
Pb1 0.000 0.000 0.500 [2 per cell]

The calculation puts the energy above the most stable polymorph in this dataset at 148 meV per atom.


Density functional theory data (GGA-PBE) for crystalline CaPd2Br at its relaxed geometry.

abc: 6.876 6.876 6.876
angles: 90.00 90.00 90.00
Space group Fm-3m (No. 225)
Asymmetric unit:
Ca1 0.000 0.000 0.000 [4 per cell]
Pd1 0.250 0.250 0.250 [8 per cell]
Br1 0.000 0.000 0.500 [4 per cell]

The calculation puts the formation energy (no corrections) at -1.3 eV per formula unit. The calculation puts the energy above the most stable polymorph in this dataset at 156 meV per atom.


Density functional theory data (GGA-PBE) for crystalline AgAsIr2 at its relaxed geometry.

abc: 5.813 7.190 2.998
angles: 90.00 90.00 90.00
Space group Cmmm (No. 65)
Asymmetric unit:
Ag1 0.000 0.000 0.000 [2 per cell]
As1 0.000 0.500 0.000 [2 per cell]
Ir1 0.250 0.250 0.500 [4 per cell]

The uncorrected energy comes out at -5.84 eV per atom.


Density functional theory data (GGA-PBE) for crystalline Ca2Mg3Cd at its relaxed geometry.

abc: 10.661 6.117 6.107
angles: 90.00 124.82 90.00
Space group C2/m (No. 12)
Asymmetric unit:
Ca1 0.126 0.000 0.378 [4 per cell]
Mg1 0.000 0.500 0.000 [2 per cell]
Mg2 0.250 0.250 0.000 [4 per cell]
Cd1 0.000 0.500 0.500 [2 per cell]

The uncorrected energy comes out at -1.81 eV per atom.


Density functional theory data (GGA-PBE) for crystalline Dy5B3O13 at its relaxed geometry.

abc: 8.9583 8.9583 6.7541
angles: 90.00 90.00 120.00
Space group P6_3/m (No. 176)
Asymmetric unit:
Dy1 0.0126 0.2522 0.2500 [6 per cell]
Dy2 0.3333 0.6667 0.5018 [4 per cell]
B1 0.0307 0.3986 0.7500 [6 per cell]
O1 0.0000 0.0000 0.2500 [2 per cell]
O2 0.0913 0.3463 0.5717 [12 per cell]
O3 0.1244 0.5894 0.7500 [6 per cell]
O4 0.1574 0.6771 0.2500 [6 per cell]

The calculation puts the formation energy (no corrections) at -63.3 eV per formula unit.


Density functional theory data (GGA-PBE) for crystalline KAg2Rh at its relaxed geometry.

abc: 5.349 5.349 18.139
angles: 90.00 90.00 90.00
Space group I-42d (No. 122)
Asymmetric unit:
K1 0.000 0.000 0.000 [4 per cell]
Ag1 0.001 0.250 0.625 [8 per cell]
Rh1 0.000 0.000 0.500 [4 per cell]

The calculation puts the energy above the most stable polymorph in this dataset at 297 meV per atom.


Density functional theory data (GGA-PBE) for crystalline Y2Al2Pd at its relaxed geometry.

abc: 6.929 6.929 4.572
angles: 90.00 90.00 90.00
Space group P4/mbm (No. 127)
Asymmetric unit:
Y1 0.168 0.332 0.000 [4 per cell]
Al1 0.137 0.637 0.500 [4 per cell]
Pd1 0.000 0.000 0.500 [2 per cell]

The uncorrected energy comes out at -5.72 eV per atom.


Density functional theory data (GGA-PBE) for crystalline DyHo2GaC at its relaxed geometry.

abc: 4.832 4.832 4.861
angles: 90.00 90.00 90.00
Space group P4/mmm (No. 123)
Asymmetric unit:
Dy1 0.000 0.000 0.000 [1 per cell]
Ho1 0.000 0.500 0.500 [2 per cell]
Ga1 0.500 0.500 0.000 [1 per cell]
C1 0.000 0.000 0.500 [1 per cell]

The uncorrected energy comes out at -5.67 eV per atom.


Density functional theory data (GGA-PBE) for crystalline HgTePt2 at its relaxed geometry.

abc: 6.569 3.826 7.123
angles: 90.00 108.29 90.00
Space group C2/m (No. 12)
Asymmetric unit:
Hg1 0.000 0.000 0.000 [2 per cell]
Te1 0.000 0.500 0.500 [2 per cell]
Pt1 0.247 0.000 0.740 [4 per cell]

The calculation puts the formation energy (no corrections) at 0.0 eV per formula unit. The calculation puts the energy above the most stable polymorph in this dataset at 50 meV per atom.


Density functional theory data (GGA-PBE) for crystalline TePtPb2 at its relaxed geometry.

abc: 4.2516 4.2516 21.6509
angles: 90.00 90.00 120.00
Space group R-3m (No. 166, hexagonal axes)
Asymmetric unit:
Te1 0.0000 0.0000 0.0000 [3 per cell]
Pt1 0.0000 0.0000 0.5000 [3 per cell]
Pb1 0.0000 0.0000 0.2365 [6 per cell]

The calculation puts the formation energy (no corrections) at -0.7 eV per formula unit.


Density functional theory data (GGA-PBE) for crystalline Rb3BeTc at its relaxed geometry.

abc: 6.557 6.557 6.557
angles: 90.00 90.00 90.00
Space group Pm-3m (No. 221)
Asymmetric unit:
Rb1 0.000 0.000 0.500 [3 per cell]
Be1 0.000 0.000 0.000 [1 per cell]
Tc1 0.500 0.500 0.500 [1 per cell]

The calculation puts the energy above the most stable polymorph in this dataset at 0 meV per atom.


Density functional theory data (GGA-PBE) for crystalline Pm5DyEr4 at its relaxed geometry.

abc: 18.124 3.573 10.432
angles: 90.00 96.29 90.00
Space group C2/m (No. 12)
Asymmetric unit:
Pm1 0.000 0.000 0.000 [2 per cell]
Pm2 0.142 0.500 0.730 [4 per cell]
Pm3 0.189 0.500 0.097 [4 per cell]
Dy1 0.000 0.000 0.500 [2 per cell]
Er1 0.046 0.500 0.263 [4 per cell]
Er2 0.183 0.000 0.414 [4 per cell]

The calculation puts the energy above the most stable polymorph in this dataset at 113 meV per atom.